First-principles (PBE) data for a relaxed LaNbPd2 crystal, as listed in Alexandria.

```
4
Lattice="0.0000 3.4752 3.4752 3.4752 0.0000 3.4752 3.4752 3.4752 0.0000" Properties=species:S:1:pos:R:3 pbc="T T T"
Pd 5.2129 5.2129 5.2129
Pd 1.7376 1.7376 1.7376
Nb 0.0000 0.0000 0.0000
La 3.4752 3.4752 3.4752
```

Output
Formation enthalpy at 0 K in eV per atom: -0.152
V in Å³ per atom: 20.99
Offset from the most stable computed form in eV/atom: 0.0000

=====

First-principles (PBE) data for a relaxed Rb2BeTlCl6 crystal, as listed in Alexandria.

```
10
Lattice="7.2469 0.0000 0.0000 0.0000 7.2469 0.0000 3.6234 3.6234 5.1616" Properties=species:S:1:pos:R:3 pbc="T T T"
Tl 0.0000 0.0000 0.0000
Cl 5.2491 1.9978 0.0000
Cl 1.9978 1.9978 0.0000
Cl 5.2491 5.2491 0.0000
Cl 7.2469 7.2469 2.8141
Cl 3.6234 3.6234 2.3475
Cl 1.9978 5.2491 0.0000
Rb 7.2469 3.6234 2.5808
Rb 3.6234 7.2469 2.5808
Be 3.6234 3.6234 0.0000
```

Output
Raw formation energy in eV/atom: -1.3023
V in Å³ per atom: 27.11

=====

| no. | D(E_F) (states/eV/atom) | electronic total energy (eV per atom) |
| --- | --- | --- |
| 1 | 1.37 | -6.498 |
| 2 | 0.25 | -3.213 |